NaSnGeBr5: optimized geometry, GGA-PBE.

The structure in extended XYZ format:
```
16
Lattice="5.249 -6.422 0.000 5.249 6.422 0.000 -3.512 0.000 8.665" Properties=species:S:1:pos:R:3 pbc="T T T"
Na 2.625 3.211 0.000
Na 0.869 -3.211 4.333
Sn 2.615 6.115 6.499
Sn 4.371 -6.115 2.166
Ge 2.615 0.243 6.499
Ge 4.371 -0.243 2.166
Br 4.371 4.061 2.166
Br 1.824 0.201 0.744
Br 0.068 -0.201 5.076
Br 1.828 1.953 8.135
Br 3.403 1.953 4.862
Br 3.584 -1.953 3.803
Br 5.159 -1.953 0.530
Br 6.918 0.201 3.589
Br 5.162 -0.201 7.922
Br 2.615 -4.061 6.499
```

Values from the calculation:
Raw formation energy ... -0.85 eV/atom
Space-group type ... C2/c (15)



NaGe2TeBr: optimized geometry, GGA-PBE.

The structure in extended XYZ format:
```
5
Lattice="5.502 0.000 0.000 0.000 5.502 0.000 0.000 0.000 5.203" Properties=species:S:1:pos:R:3 pbc="T T T"
Na 0.000 0.000 0.000
Ge 0.000 2.751 0.000
Ge 2.751 0.000 0.000
Te 0.000 0.000 2.602
Br 2.751 2.751 2.602
```

Values from the calculation:
Raw formation energy ... 0.75 eV/atom
Space-group type ... P4/mmm (123)



NaGeTeBr2: optimized geometry, GGA-PBE.

The structure in extended XYZ format:
```
5
Lattice="6.154 0.000 0.000 0.000 6.154 0.000 0.000 0.000 5.293" Properties=species:S:1:pos:R:3 pbc="T T T"
Na 0.000 0.000 0.000
Ge 3.077 3.077 0.000
Te 3.077 3.077 2.646
Br 0.000 3.077 2.646
Br 3.077 0.000 2.646
```

Values from the calculation:
Raw formation energy ... -0.04 eV/atom
Space-group type ... P4/mmm (123)



Na2TlGeBr5: optimized geometry, GGA-PBE.

The structure in extended XYZ format:
```
18
Lattice="2.291 -9.209 0.000 2.291 9.209 0.000 0.000 0.000 15.137" Properties=species:S:1:pos:R:3 pbc="T T T"
Na 2.291 6.663 7.569
Na 2.291 6.007 0.401
Na 2.291 -6.007 7.970
Na 2.291 -6.663 0.000
Tl 2.291 4.728 11.502
Tl 2.291 -4.728 3.933
Ge 2.291 0.072 3.892
Ge 2.291 -0.072 11.460
Br 2.291 7.999 12.486
Br 2.291 4.104 6.303
Br 2.291 3.234 1.752
Br 2.291 1.818 9.469
Br 2.291 1.652 13.321
Br 2.291 -1.652 5.752
Br 2.291 -1.818 1.900
Br 2.291 -3.234 9.321
Br 2.291 -4.104 13.872
Br 2.291 -7.999 4.918
```

Values from the calculation:
Raw formation energy ... -1.02 eV/atom
Space-group type ... Cmc2_1 (36)



NaTlGeBr4: optimized geometry, GGA-PBE.

The structure in extended XYZ format:
```
14
Lattice="8.466 0.000 0.000 0.000 7.321 0.000 -3.146 0.000 8.671" Properties=species:S:1:pos:R:3 pbc="T T T"
Na -0.312 1.830 3.692
Na 5.633 5.491 4.979
Tl 1.539 5.491 0.316
Tl 3.781 1.830 8.355
Ge 1.220 5.491 6.081
Ge 4.100 1.830 2.590
Br 1.060 1.830 1.162
Br -0.580 0.005 6.101
Br -0.580 3.656 6.101
Br 1.774 5.491 3.655
Br 3.546 1.830 5.016
Br 5.900 3.665 2.570
Br 5.900 7.317 2.570
Br 4.260 5.491 7.509
```

Values from the calculation:
Raw formation energy ... -0.88 eV/atom
Space-group type ... P2_1/m (11)



Na2Tl3GeBr6: optimized geometry, GGA-PBE.

The structure in extended XYZ format:
```
12
Lattice="3.632 -6.338 0.000 3.632 6.338 0.000 -2.473 0.000 8.282" Properties=species:S:1:pos:R:3 pbc="T T T"
Na 3.632 4.240 0.000
Na 3.632 -4.240 0.000
Tl -1.237 0.000 4.141
Tl 2.396 2.180 4.141
Tl 2.396 -2.180 4.141
Ge 3.632 0.000 0.000
Br 0.005 2.022 6.615
Br 1.319 0.000 1.703
Br 0.005 -2.022 6.615
Br 4.786 2.022 1.667
Br 3.473 0.000 6.579
Br 4.786 -2.022 1.667
```

Values from the calculation:
Raw formation energy ... -0.88 eV/atom
Space-group type ... C2/m (12)



NaTmGe2Br8: optimized geometry, GGA-PBE.

The structure in extended XYZ format:
```
12
Lattice="6.594 0.000 0.000 0.263 6.996 0.000 0.103 0.225 8.505" Properties=species:S:1:pos:R:3 pbc="T T T"
Na 0.000 0.000 0.000
Tm 0.052 0.112 4.252
Ge 3.264 3.351 2.071
Ge 3.697 3.869 6.434
Br 1.739 5.838 2.252
Br 1.739 2.350 4.087
Br 1.945 6.113 6.276
Br 1.912 2.436 0.135
Br 5.049 4.784 8.369
Br 5.016 1.107 2.228
Br 5.222 4.870 4.417
Br 5.222 1.382 6.252
```

Values from the calculation:
Raw formation energy ... -1.13 eV/atom
Space-group type ... P-1 (2)



NaYGe2Br8: optimized geometry, GGA-PBE.

The structure in extended XYZ format:
```
12
Lattice="6.616 0.000 0.000 0.258 7.021 0.000 0.123 0.217 8.546" Properties=species:S:1:pos:R:3 pbc="T T T"
Na 0.000 0.000 0.000
Y 0.061 0.109 4.273
Ge 3.280 3.375 2.069
Ge 3.716 3.863 6.477
Br 1.757 5.849 2.232
Br 1.775 2.379 4.105
Br 1.968 6.119 6.327
Br 1.915 2.450 0.147
Br 5.081 4.789 8.399
Br 5.029 1.120 2.219
Br 5.221 4.859 4.441
Br 5.240 1.389 6.314
```

Values from the calculation:
Raw formation energy ... -1.13 eV/atom
Space-group type ... P-1 (2)



Na2ZnGeBr6: optimized geometry, GGA-PBE.

The structure in extended XYZ format:
```
10
Lattice="3.603 2.080 7.202 -3.603 2.080 7.202 0.000 -4.161 7.202" Properties=species:S:1:pos:R:3 pbc="T T T"
Na 0.000 0.000 0.000
Na 0.000 0.000 10.509
Zn 0.000 0.000 5.332
Ge 0.000 0.000 14.928
Br -2.573 -0.073 8.976
Br -1.159 -2.108 12.531
Br 1.350 -2.191 8.976
Br -1.246 2.058 12.531
Br 1.223 2.265 8.976
Br 2.405 0.050 12.531
```

Values from the calculation:
Raw formation energy ... -1.03 eV/atom
Space-group type ... R3 (146)



Nb2GeBr: optimized geometry, GGA-PBE.

The structure in extended XYZ format:
```
4
Lattice="0.000 3.274 3.274 3.274 0.000 3.274 3.274 3.274 0.000" Properties=species:S:1:pos:R:3 pbc="T T T"
Nb 1.637 1.637 1.637
Nb 4.910 4.910 4.910
Ge 0.000 0.000 0.000
Br 3.274 3.274 3.274
```

Values from the calculation:
Raw formation energy ... 0.17 eV/atom
Space-group type ... Fm-3m (225)



NbGeBr3: optimized geometry, GGA-PBE.

The structure in extended XYZ format:
```
5
Lattice="5.386 0.000 0.000 0.000 5.386 0.000 0.000 0.000 5.386" Properties=species:S:1:pos:R:3 pbc="T T T"
Nb 0.000 0.000 0.000
Ge 2.693 2.693 2.693
Br 0.000 2.693 2.693
Br 2.693 0.000 2.693
Br 2.693 2.693 0.000
```

Values from the calculation:
Raw formation energy ... 0.53 eV/atom
Space-group type ... Pm-3m (221)



NbGe2Br: optimized geometry, GGA-PBE.

The structure in extended XYZ format:
```
4
Lattice="0.000 3.401 3.401 3.401 0.000 3.401 3.401 3.401 0.000" Properties=species:S:1:pos:R:3 pbc="T T T"
Nb 0.000 0.000 0.000
Ge 1.701 1.701 1.701
Ge 5.102 5.102 5.102
Br 3.401 3.401 3.401
```

Values from the calculation:
Raw formation energy ... 0.73 eV/atom
Space-group type ... Fm-3m (225)



Which of these has the highest raw formation energy? NaGe2TeBr



Which value of raw formation energy does entry 4 give? -1.02 eV/atom